(1)
VASP calculation (GGA-PBEsol) on a geometry-optimized Li3Co2CuO6 structure. Values from VASP.

Geometry as Quantum ESPRESSO input:
```
&SYSTEM
  ibrav = 0, nat = 12, ntyp = 4
/
ATOMIC_SPECIES
Co 58.93 Co.upf
Li 6.94 Li.upf
Cu 63.55 Cu.upf
O 16.00 O.upf
ATOMIC_POSITIONS angstrom
Co -2.3758 -0.2697 0.8088
Co -4.9610 -1.3601 0.4860
Li -3.2500 -2.4129 2.4957
Li -4.0867 0.7830 -1.2008
Li -1.2111 -2.8758 0.5288
Cu -0.3000 -0.7743 -1.1393
O -6.7352 -0.6788 0.4901
O -2.2875 -0.1073 -1.0694
O -0.6016 -0.9511 0.8048
O -3.1522 -1.9677 0.4227
O -5.0492 -1.5225 2.3642
O -4.1845 0.3378 0.8721
CELL_PARAMETERS angstrom
-0.5999 -1.5487 -2.2786
-1.8223 -4.2028 3.3363
-4.9145 4.1217 0.2372
```

Results
ΔE_f (raw), eV/atom: -1.3743
Crystal system: monoclinic
Magnetization, μB per formula unit: 1.70
Electronic total energy, hartree per atom: -0.2257

=====

(2)
VASP calculation (GGA-PBEsol) on a geometry-optimized Pr3Rh4Pb13 structure. Values from VASP.

Geometry as Quantum ESPRESSO input:
```
&SYSTEM
  ibrav = 0, nat = 40, ntyp = 3
/
ATOMIC_SPECIES
Pr 140.91 Pr.upf
Pb 207.20 Pb.upf
Rh 102.91 Rh.upf
ATOMIC_POSITIONS angstrom
Pr 0.0000 4.9827 2.4914
Pr 7.4741 0.0000 4.9827
Pr 2.4914 0.0000 4.9827
Pr 4.9827 7.4741 0.0000
Pr 4.9827 2.4914 0.0000
Pr 0.0000 4.9827 7.4741
Pb 3.0628 0.0000 1.5395
Pb 3.4432 4.9827 1.9199
Pb 0.0000 8.4259 6.9026
Pb 8.4259 3.0628 0.0000
Pb 4.9827 4.9827 4.9827
Pb 1.9199 6.5223 4.9827
Pb 4.9827 8.0456 3.4432
Pb 3.4432 4.9827 8.0456
Pb 4.9827 1.9199 6.5223
Pb 6.9026 0.0000 8.4259
Pb 0.0000 8.4259 3.0628
Pb 0.0000 1.5395 6.9026
Pb 0.0000 1.5395 3.0628
Pb 1.5395 3.0628 0.0000
Pb 1.5395 6.9026 0.0000
Pb 6.9026 0.0000 1.5395
Pb 6.5223 4.9827 1.9199
Pb 8.0456 3.4432 4.9827
Pb 8.0456 6.5223 4.9827
Pb 4.9827 1.9199 3.4432
Pb 1.9199 3.4432 4.9827
Pb 3.0628 0.0000 8.4259
Pb 8.4259 6.9026 0.0000
Pb 6.5223 4.9827 8.0456
Pb 4.9827 8.0456 6.5223
Pb 0.0000 0.0000 0.0000
Rh 7.4741 7.4741 7.4741
Rh 7.4741 2.4914 2.4914
Rh 2.4914 7.4741 7.4741
Rh 2.4914 2.4914 2.4914
Rh 2.4914 2.4914 7.4741
Rh 7.4741 7.4741 2.4914
Rh 7.4741 2.4914 7.4741
Rh 2.4914 7.4741 2.4914
CELL_PARAMETERS angstrom
9.9655 0.0000 0.0000
0.0000 9.9655 0.0000
0.0000 0.0000 9.9655
```

Results
Crystal system: cubic
Magnetization, μB per formula unit: 0.00
Energy relative to the elements, meV per atom: -326
Electronic total energy, hartree per atom: -0.1959

=====

(3)
VASP calculation (GGA-PBEsol) on a geometry-optimized CoCu2Pt structure. Values from VASP.

Geometry as Quantum ESPRESSO input:
```
&SYSTEM
  ibrav = 0, nat = 4, ntyp = 3
/
ATOMIC_SPECIES
Cu 63.55 Cu.upf
Co 58.93 Co.upf
Pt 195.08 Pt.upf
ATOMIC_POSITIONS angstrom
Cu -2.0873 -1.1288 1.0178
Cu -1.3704 1.2170 1.8187
Co 0.0000 0.0000 0.0000
Pt -2.3527 0.9064 -0.5489
CELL_PARAMETERS angstrom
-1.6358 3.2522 0.2520
-3.0696 -1.4393 -1.3498
1.2476 -1.7246 3.9343
```

Results
Crystal system: tetragonal
Magnetization, μB per formula unit: 2.07
Energy relative to the elements, meV per atom: 46
Electronic total energy, hartree per atom: -0.2130